# 1
This record from Alexandria describes a relaxed TbMgGa crystal. The functional is PBE.

Values from the calculation:
E_form in eV per atom: -0.286

a b c (Å): 3.373 3.373 12.173
angles (deg): 90.00 90.00 90.00
Space group I4mm (No. 107)
Inequivalent atoms, fractional coordinates:
Tb 0.000 0.000 0.000 [2 per cell]
Mg 0.000 0.000 0.704 [2 per cell]
Ga 0.000 0.000 0.343 [2 per cell]

---

# 2
This record from Alexandria describes a relaxed Tb3Sm4PuSe8 crystal. The functional is PBE.

Values from the calculation:
Formation energy (no corrections) in eV per atom: -1.776

a b c (Å): 8.2693 8.2693 20.3311
angles (deg): 90.00 90.00 120.00
Space group R-3m (No. 166, hexagonal axes)
Inequivalent atoms, fractional coordinates:
Tb 0.0000 0.5000 0.0000 [9 per cell]
Sm 0.0000 0.0000 0.5000 [3 per cell]
Sm 0.0000 0.5000 0.5000 [9 per cell]
Pu 0.0000 0.0000 0.0000 [3 per cell]
Se 0.0000 0.0000 0.2524 [6 per cell]
Se 0.0014 0.5007 0.2520 [18 per cell]

---

# 3
This record from Alexandria describes a relaxed YbGd6 crystal. The functional is PBE.

Values from the calculation:
E_form in eV per atom: 1.241

a b c (Å): 8.175 8.175 8.175
angles (deg): 90.00 90.00 90.00
Space group Im-3m (No. 229)
Inequivalent atoms, fractional coordinates:
Yb 0.000 0.000 0.000 [2 per cell]
Gd 0.000 0.250 0.500 [12 per cell]